The following is a GGA-PBE calculation of a relaxed structure of LiPm2SbS6, from Alexandria via LeMat-Bulk.

Output
- DFT total energy (eV per atom) = -5.277
- total magnetization (μB/cell) = 0.00
- space-group type = P2_1/c (14)
- energy relative to the elements, uncorrected (eV per atom) = -1.25

Cell: 6.536 7.155 9.351 Å, 90.00 88.28 90.00°
Sites, in units of the cell vectors:
Li 0.000 0.500 0.500
Li 0.500 0.000 0.000
S 0.176 0.190 0.060
S 0.134 0.462 0.749
S 0.324 0.690 0.440
S 0.818 0.820 0.558
S 0.634 0.038 0.249
S 0.866 0.538 0.251
S 0.824 0.810 0.940
S 0.676 0.310 0.560
S 0.366 0.962 0.751
S 0.682 0.320 0.942
S 0.318 0.680 0.058
S 0.182 0.180 0.442
Sb 0.000 0.500 0.000
Sb 0.500 0.000 0.500
Pm 0.961 0.102 0.747
Pm 0.539 0.602 0.753
Pm 0.039 0.898 0.253
Pm 0.461 0.398 0.247